# Cs2SrCd2 | Alexandria via LeMat-Bulk | PBE-GGA | relaxed
data_Cs2SrCd2
_chemical_formula_sum 'Cs4 Sr2 Cd4'
_cell_length_a 9.032
_cell_length_b 9.032
_cell_length_c 6.396
_cell_angle_alpha 90.00
_cell_angle_beta 90.00
_cell_angle_gamma 90.00
_space_group_name_H-M_alt 'P 4/m b m'
_space_group_IT_number 127
_space_group_name_Hall '-P 4 2ab'
loop_
_atom_site_label
_atom_site_type_symbol
_atom_site_fract_x
_atom_site_fract_y
_atom_site_fract_z
Cs1 Cs 0.172 0.328 0.000
Sr1 Sr 0.000 0.000 0.500
Cd1 Cd 0.119 0.619 0.500
# * volume: 52.170 Å³ per atom
# * ΔE_f: -0.008 eV per atom
# * Fermi-level density of states: 3.07 states/eV/f.u.

# DyMgP2Pd5 | Alexandria via LeMat-Bulk | PBE-GGA | relaxed
data_DyMgP2Pd5
_chemical_formula_sum 'Dy1 Mg1 P2 Pd5'
_cell_length_a 4.107
_cell_length_b 4.107
_cell_length_c 8.594
_cell_angle_alpha 90.00
_cell_angle_beta 90.00
_cell_angle_gamma 90.00
_space_group_name_H-M_alt 'P 4/m m m'
_space_group_IT_number 123
_space_group_name_Hall '-P 4 2'
loop_
_atom_site_label
_atom_site_type_symbol
_atom_site_fract_x
_atom_site_fract_y
_atom_site_fract_z
Dy1 Dy 0.000 0.000 0.000
Mg1 Mg 0.000 0.000 0.500
P1 P 0.500 0.500 0.129
Pd1 Pd 0.000 0.500 0.270
Pd2 Pd 0.500 0.500 0.500
# * volume: 16.110 Å³ per atom
# * ΔE_f: -0.857 eV per atom
# * Fermi-level density of states: 1.39 states/eV/f.u.

# TeRhN2O | Alexandria via LeMat-Bulk | PBE-GGA | relaxed
data_TeRhN2O
_chemical_formula_sum 'Te1 Rh1 N2 O1'
_cell_length_a 4.027
_cell_length_b 4.027
_cell_length_c 3.835
_cell_angle_alpha 90.00
_cell_angle_beta 90.00
_cell_angle_gamma 90.00
_space_group_name_H-M_alt 'P 4/m m m'
_space_group_IT_number 123
_space_group_name_Hall '-P 4 2'
loop_
_atom_site_label
_atom_site_type_symbol
_atom_site_fract_x
_atom_site_fract_y
_atom_site_fract_z
Te1 Te 0.000 0.000 0.000
Rh1 Rh 0.500 0.500 0.500
N1 N 0.000 0.500 0.000
O1 O 0.000 0.000 0.500
# * volume: 12.439 Å³ per atom
# * formation energy from raw total energies: 1.36 eV/atom
# * Fermi-level density of states: 5.13 states/eV/f.u.

# B2IrPt | Alexandria via LeMat-Bulk | PBE-GGA | relaxed
data_B2IrPt
_chemical_formula_sum 'B8 Ir4 Pt4'
_cell_length_a 4.774
_cell_length_b 4.774
_cell_length_c 9.537
_cell_angle_alpha 90.00
_cell_angle_beta 90.00
_cell_angle_gamma 90.00
_space_group_name_H-M_alt 'I -4 2 d'
_space_group_IT_number 122
_space_group_name_Hall 'I -4 2bw'
loop_
_atom_site_label
_atom_site_type_symbol
_atom_site_fract_x
_atom_site_fract_y
_atom_site_fract_z
B1 B 0.241 0.250 0.125
Ir1 Ir 0.000 0.000 0.000
Pt1 Pt 0.000 0.000 0.500
# * volume: 13.584 Å³ per atom
# * ΔE_f: 0.006 eV per atom
# * Fermi-level density of states: 2.15 states/eV/f.u.

# Tb7Nd3Sm2 | Alexandria via LeMat-Bulk | PBE-GGA | relaxed
data_Tb7Nd3Sm2
_chemical_formula_sum 'Tb7 Nd3 Sm2'
_cell_length_a 6.399
_cell_length_b 3.557
_cell_length_c 17.686
_cell_angle_alpha 90.00
_cell_angle_beta 96.22
_cell_angle_gamma 90.00
_space_group_name_H-M_alt 'P 1 2/m 1'
_space_group_IT_number 10
loop_
_space_group_symop_operation_xyz
'x,y,z'
'-x,-y,-z'
'-x,y,-z'
'x,-y,z'
loop_
_atom_site_label
_atom_site_type_symbol
_atom_site_fract_x
_atom_site_fract_y
_atom_site_fract_z
Tb1 Tb 0.000 0.000 0.000
Tb2 Tb 0.225 0.500 0.166
Tb3 Tb 0.254 0.500 0.500
Tb4 Tb 0.272 0.000 0.835
Nd1 Nd 0.453 0.000 0.340
Nd2 Nd 0.500 0.500 0.000
Sm1 Sm 0.055 0.500 0.673
# * volume: 33.350 Å³ per atom
# * ΔE_f: 0.080 eV per atom
# * Fermi-level density of states: 17.68 states/eV/f.u.

# BaAuIO2 | Alexandria via LeMat-Bulk | PBE-GGA | relaxed
data_BaAuIO2
_chemical_formula_sum 'Ba1 Au1 I1 O2'
_cell_length_a 4.455
_cell_length_b 4.455
_cell_length_c 7.834
_cell_angle_alpha 90.00
_cell_angle_beta 90.00
_cell_angle_gamma 90.00
_space_group_name_H-M_alt 'P 4/m m m'
_space_group_IT_number 123
_space_group_name_Hall '-P 4 2'
loop_
_atom_site_label
_atom_site_type_symbol
_atom_site_fract_x
_atom_site_fract_y
_atom_site_fract_z
Ba1 Ba 0.000 0.000 0.000
Au1 Au 0.500 0.500 0.500
I1 I 0.000 0.000 0.500
O1 O 0.000 0.500 0.000
# * volume: 31.095 Å³ per atom
# * formation energy from raw total energies: -0.24 eV/atom
# * Fermi-level density of states: 1.60 states/eV/f.u.

# MgSc2SiN | Alexandria via LeMat-Bulk | PBE-GGA | relaxed
data_MgSc2SiN
_chemical_formula_sum 'Mg1 Sc2 Si1 N1'
_cell_length_a 4.490
_cell_length_b 4.490
_cell_length_c 4.016
_cell_angle_alpha 90.00
_cell_angle_beta 90.00
_cell_angle_gamma 90.00
_space_group_name_H-M_alt 'P 4/m m m'
_space_group_IT_number 123
_space_group_name_Hall '-P 4 2'
loop_
_atom_site_label
_atom_site_type_symbol
_atom_site_fract_x
_atom_site_fract_y
_atom_site_fract_z
Mg1 Mg 0.000 0.000 0.000
Sc1 Sc 0.000 0.500 0.500
Si1 Si 0.500 0.500 0.000
N1 N 0.500 0.500 0.500
# * volume: 16.194 Å³ per atom
# * formation energy from raw total energies: -0.54 eV/atom
# * Fermi-level density of states: 4.42 states/eV/f.u.

# CdAg2Au | Alexandria via LeMat-Bulk | PBE-GGA | relaxed
data_CdAg2Au
_chemical_formula_sum 'Cd2 Ag4 Au2'
_cell_length_a 5.984
_cell_length_b 5.949
_cell_length_c 5.097
_cell_angle_alpha 90.00
_cell_angle_beta 125.15
_cell_angle_gamma 90.00
_space_group_name_H-M_alt 'C 1 2 1'
_space_group_IT_number 5
loop_
_space_group_symop_operation_xyz
'x,y,z'
'-x,y,-z'
'x+1/2,y+1/2,z'
'-x+1/2,y+1/2,-z'
loop_
_atom_site_label
_atom_site_type_symbol
_atom_site_fract_x
_atom_site_fract_y
_atom_site_fract_z
Cd1 Cd 0.000 0.000 0.000
Ag1 Ag 0.000 0.500 0.000
Ag2 Ag 0.000 0.750 0.500
Au1 Au 0.000 0.250 0.500
# * volume: 18.548 Å³ per atom
# * ΔE_f: -0.093 eV per atom
# * Fermi-level density of states: 1.25 states/eV/f.u.

# In2Se | Alexandria via LeMat-Bulk | PBE-GGA | relaxed
data_In2Se
_chemical_formula_sum 'In8 Se4'
_cell_length_a 3.809
_cell_length_b 16.314
_cell_length_c 5.334
_cell_angle_alpha 90.00
_cell_angle_beta 90.00
_cell_angle_gamma 90.00
_space_group_name_H-M_alt 'C m c m'
_space_group_IT_number 63
_space_group_name_Hall '-C 2c 2'
loop_
_atom_site_label
_atom_site_type_symbol
_atom_site_fract_x
_atom_site_fract_y
_atom_site_fract_z
In1 In 0.000 0.074 0.250
In2 In 0.000 0.219 0.750
Se1 Se 0.000 0.412 0.250
# * volume: 27.617 Å³ per atom
# * formation energy from raw total energies: -0.19 eV/atom
# * Fermi-level density of states: 0.98 states/eV/f.u.

# NdHoTl | Alexandria via LeMat-Bulk | PBE-GGA | relaxed
data_NdHoTl
_chemical_formula_sum 'Nd1 Ho1 Tl1'
_cell_length_a 5.3066
_cell_length_b 5.3066
_cell_length_c 3.7818
_cell_angle_alpha 90.00
_cell_angle_beta 90.00
_cell_angle_gamma 120.00
_space_group_name_H-M_alt 'P 3 m 1'
_space_group_IT_number 156
loop_
_space_group_symop_operation_xyz
'x,y,z'
'-y,x-y,z'
'-x+y,-x,z'
'-y,-x,z'
'-x+y,y,z'
'x,x-y,z'
loop_
_atom_site_label
_atom_site_type_symbol
_atom_site_fract_x
_atom_site_fract_y
_atom_site_fract_z
Nd1 Nd 0.0000 0.0000 0.0000
Ho1 Ho 0.3333 0.6667 0.4735
Tl1 Tl 0.6667 0.3333 0.5761
# * volume: 30.742 Å³ per atom
# * ΔE_f: -0.164 eV per atom
# * Fermi-level density of states: 1.91 states/eV/f.u.

# Cs2TmCr3Cl12 | Alexandria via LeMat-Bulk | PBE-GGA | relaxed
data_Cs2TmCr3Cl12
_chemical_formula_sum 'Cs6 Tm3 Cr9 Cl36'
_cell_length_a 9.1006
_cell_length_b 9.1006
_cell_length_c 22.8488
_cell_angle_alpha 90.00
_cell_angle_beta 90.00
_cell_angle_gamma 120.00
_space_group_name_H-M_alt 'R -3 m'
_space_group_IT_number 166
_space_group_name_Hall '-R 3 2"'
loop_
_atom_site_label
_atom_site_type_symbol
_atom_site_fract_x
_atom_site_fract_y
_atom_site_fract_z
Cs1 Cs 0.0000 0.0000 0.1081
Tm1 Tm 0.0000 0.0000 0.5000
Cr1 Cr 0.0000 0.5000 0.0000
Cl1 Cl 0.0505 0.5253 0.1068
Cl2 Cl 0.0709 0.5354 0.3495
# * volume: 30.349 Å³ per atom
# * formation energy from raw total energies: -1.51 eV/atom
# * Fermi-level density of states: 6.54 states/eV/f.u.

# La2VN2 | Alexandria via LeMat-Bulk | PBE-GGA | relaxed
data_La2VN2
_chemical_formula_sum 'La4 V2 N4'
_cell_length_a 4.400
_cell_length_b 4.400
_cell_length_c 11.844
_cell_angle_alpha 90.00
_cell_angle_beta 90.00
_cell_angle_gamma 90.00
_space_group_name_H-M_alt 'I 4/m m m'
_space_group_IT_number 139
_space_group_name_Hall '-I 4 2'
loop_
_atom_site_label
_atom_site_type_symbol
_atom_site_fract_x
_atom_site_fract_y
_atom_site_fract_z
La1 La 0.000 0.000 0.168
V1 V 0.000 0.000 0.500
N1 N 0.000 0.500 0.250
# * volume: 22.928 Å³ per atom
# * formation energy from raw total energies: -0.16 eV/atom
# * Fermi-level density of states: 6.21 states/eV/f.u.

# KCdGePd | Alexandria via LeMat-Bulk | PBE-GGA | relaxed
data_KCdGePd
_chemical_formula_sum 'K3 Cd3 Ge3 Pd3'
_cell_length_a 4.5011
_cell_length_b 4.5011
_cell_length_c 18.4626
_cell_angle_alpha 90.00
_cell_angle_beta 90.00
_cell_angle_gamma 120.00
_space_group_name_H-M_alt 'R 3 m'
_space_group_IT_number 160
_space_group_name_Hall 'R 3 -2"'
loop_
_atom_site_label
_atom_site_type_symbol
_atom_site_fract_x
_atom_site_fract_y
_atom_site_fract_z
K1 K 0.0000 0.0000 0.0000
Cd1 Cd 0.0000 0.0000 0.8050
Ge1 Ge 0.0000 0.0000 0.2044
Pd1 Pd 0.0000 0.0000 0.5171
# * volume: 26.995 Å³ per atom
# * ΔE_f: -0.207 eV per atom
# * Fermi-level density of states: 1.92 states/eV/f.u.

# CeNpP2Ir2 | Alexandria via LeMat-Bulk | PBE-GGA | relaxed
data_CeNpP2Ir2
_chemical_formula_sum 'Ce1 Np1 P2 Ir2'
_cell_length_a 4.0971
_cell_length_b 4.0971
_cell_length_c 7.7759
_cell_angle_alpha 90.00
_cell_angle_beta 90.00
_cell_angle_gamma 120.00
_space_group_name_H-M_alt 'P -3 m 1'
_space_group_IT_number 164
_space_group_name_Hall '-P 3 2"'
loop_
_atom_site_label
_atom_site_type_symbol
_atom_site_fract_x
_atom_site_fract_y
_atom_site_fract_z
Ce1 Ce 0.0000 0.0000 0.0000
Np1 Np 0.0000 0.0000 0.5000
P1 P 0.3333 0.6667 0.2357
Ir1 Ir 0.3333 0.6667 0.7214
# * volume: 18.840 Å³ per atom
# * ΔE_f: -0.979 eV per atom
# * Fermi-level density of states: 7.67 states/eV/f.u.

# MgV2GaH | Alexandria via LeMat-Bulk | PBE-GGA | relaxed
data_MgV2GaH
_chemical_formula_sum 'Mg1 V2 Ga1 H1'
_cell_length_a 3.802
_cell_length_b 3.802
_cell_length_c 4.270
_cell_angle_alpha 90.00
_cell_angle_beta 90.00
_cell_angle_gamma 90.00
_space_group_name_H-M_alt 'P 4/m m m'
_space_group_IT_number 123
_space_group_name_Hall '-P 4 2'
loop_
_atom_site_label
_atom_site_type_symbol
_atom_site_fract_x
_atom_site_fract_y
_atom_site_fract_z
Mg1 Mg 0.000 0.000 0.000
V1 V 0.000 0.500 0.500
Ga1 Ga 0.500 0.500 0.000
H1 H 0.000 0.000 0.500
# * E_tot: -5.27 eV/atom
# * volume: 12.341 Å³ per atom
# * Fermi-level density of states: 3.11 states/eV/f.u.

# TbTl2Cd2Te4 | Alexandria via LeMat-Bulk | PBE-GGA | relaxed
data_TbTl2Cd2Te4
_chemical_formula_sum 'Tb2 Tl4 Cd4 Te8'
_cell_length_a 16.373
_cell_length_b 4.445
_cell_length_c 8.547
_cell_angle_alpha 90.00
_cell_angle_beta 106.49
_cell_angle_gamma 90.00
_space_group_name_H-M_alt 'C 1 2/m 1'
_space_group_IT_number 12
loop_
_space_group_symop_operation_xyz
'x,y,z'
'-x,-y,-z'
'-x,y,-z'
'x,-y,z'
'x+1/2,y+1/2,z'
'-x+1/2,-y+1/2,-z'
'-x+1/2,y+1/2,-z'
'x+1/2,-y+1/2,z'
loop_
_atom_site_label
_atom_site_type_symbol
_atom_site_fract_x
_atom_site_fract_y
_atom_site_fract_z
Tb1 Tb 0.000 0.000 0.000
Tl1 Tl 0.129 0.000 0.552
Cd1 Cd 0.166 0.500 0.975
Te1 Te 0.003 0.500 0.742
Te2 Te 0.203 0.000 0.203
# * volume: 33.134 Å³ per atom
# * formation energy from raw total energies: -0.57 eV/atom
# * Fermi-level density of states: 2.14 states/eV/f.u.

# Pm2GaCo5Si2 | Alexandria via LeMat-Bulk | PBE-GGA | relaxed
data_Pm2GaCo5Si2
_chemical_formula_sum 'Pm4 Ga2 Co10 Si4'
_cell_length_a 9.557
_cell_length_b 9.557
_cell_length_c 3.298
_cell_angle_alpha 90.00
_cell_angle_beta 90.00
_cell_angle_gamma 90.00
_space_group_name_H-M_alt 'P 4/m b m'
_space_group_IT_number 127
_space_group_name_Hall '-P 4 2ab'
loop_
_atom_site_label
_atom_site_type_symbol
_atom_site_fract_x
_atom_site_fract_y
_atom_site_fract_z
Pm1 Pm 0.179 0.321 0.000
Ga1 Ga 0.000 0.000 0.000
Co1 Co 0.000 0.500 0.500
Co2 Co 0.065 0.781 0.500
Si1 Si 0.118 0.618 0.000
# * volume: 15.060 Å³ per atom
# * formation energy from raw total energies: -0.33 eV/atom
# * Fermi-level density of states: 4.75 states/eV/f.u.

# CoReAg | Alexandria via LeMat-Bulk | PBE-GGA | relaxed
data_CoReAg
_chemical_formula_sum 'Co4 Re4 Ag4'
_cell_length_a 5.747
_cell_length_b 5.747
_cell_length_c 5.747
_cell_angle_alpha 90.00
_cell_angle_beta 90.00
_cell_angle_gamma 90.00
_space_group_name_H-M_alt 'F -4 3 m'
_space_group_IT_number 216
_space_group_name_Hall 'F -4 2 3'
loop_
_atom_site_label
_atom_site_type_symbol
_atom_site_fract_x
_atom_site_fract_y
_atom_site_fract_z
Co1 Co 0.000 0.000 0.000
Re1 Re 0.250 0.250 0.250
Ag1 Ag 0.250 0.250 0.750
# * volume: 15.817 Å³ per atom
# * ΔE_f: 0.906 eV per atom
# * Fermi-level density of states: 5.41 states/eV/f.u.

# Cs2AuClO | Alexandria via LeMat-Bulk | PBE-GGA | relaxed
data_Cs2AuClO
_chemical_formula_sum 'Cs2 Au1 Cl1 O1'
_cell_length_a 6.242
_cell_length_b 6.242
_cell_length_c 4.059
_cell_angle_alpha 90.00
_cell_angle_beta 90.00
_cell_angle_gamma 90.00
_space_group_name_H-M_alt 'P 4/m m m'
_space_group_IT_number 123
_space_group_name_Hall '-P 4 2'
loop_
_atom_site_label
_atom_site_type_symbol
_atom_site_fract_x
_atom_site_fract_y
_atom_site_fract_z
Cs1 Cs 0.000 0.500 0.000
Au1 Au 0.000 0.000 0.500
Cl1 Cl 0.500 0.500 0.500
O1 O 0.000 0.000 0.000
# * volume: 31.630 Å³ per atom
# * formation energy from raw total energies: -1.16 eV/atom
# * Fermi-level density of states: 0.19 states/eV/f.u.

# ScTaAs2 | Alexandria via LeMat-Bulk | PBE-GGA | relaxed
data_ScTaAs2
_chemical_formula_sum 'Sc4 Ta4 As8'
_cell_length_a 6.562
_cell_length_b 6.562
_cell_length_c 6.562
_cell_angle_alpha 90.00
_cell_angle_beta 90.00
_cell_angle_gamma 90.00
_space_group_name_H-M_alt 'F m -3 m'
_space_group_IT_number 225
_space_group_name_Hall '-F 4 2 3'
loop_
_atom_site_label
_atom_site_type_symbol
_atom_site_fract_x
_atom_site_fract_y
_atom_site_fract_z
Sc1 Sc 0.000 0.000 0.000
Ta1 Ta 0.000 0.000 0.500
As1 As 0.250 0.250 0.250
# * volume: 17.657 Å³ per atom
# * ΔE_f: -0.505 eV per atom
# * Fermi-level density of states: 6.34 states/eV/f.u.